Entry from the Alexandria database: a relaxed structure of CuHgPb2Au (GGA-PBEsol).

Summary:
Formation energy from the elements, meV per atom: 776
VASP energy, eV/atom: -2.5883
Mass density, g/cm³: 9.96

a = 5.5453 Å, b = 5.5453 Å, c = 4.7483 Å
α = 90.00°, β = 90.00°, γ = 90.00°
Last column: nearest neighbours and their distance in Å.
Space group P4/mmm (No. 123)
Inequivalent atoms, fractional coordinates:
Cu (0.0000, 0.0000, 0.0000) [1 per cell]  2 Hg 2.37
Hg (0.0000, 0.0000, 0.5000) [1 per cell]  2 Cu 2.37
Pb (0.0000, 0.5000, 0.5000) [2 per cell]  2 Hg 2.77
Au (0.5000, 0.5000, 0.0000) [1 per cell]  8 Pb 3.65, 4 Cu 3.92